(1)
Computed, not measured: crystalline PaVP2Ru5 at its relaxed geometry at the PBE level of DFT.

abc: 4.062 4.062 9.451
angles: 90.00 90.00 90.00
Fractional coordinates of all 9 atoms:
Pa1 0.000 0.000 0.500
V1 0.000 0.000 0.000
P1 0.500 0.500 0.260
P2 0.500 0.500 0.740
Ru1 0.000 0.500 0.154
Ru2 0.500 0.000 0.154
Ru3 0.000 0.500 0.846
Ru4 0.500 0.000 0.846
Ru5 0.500 0.500 0.500

**DFT formation energy**: -236.5 meV per atom
**Volume**: 155.9 Å³/cell
**ρ**: 9.04 g cm⁻³
**Calculated total energy**: -8.6602 eV per atom

(2)
Computed, not measured: crystalline SrAc2F7 at its relaxed geometry at the PBE level of DFT.

abc: 4.353 4.353 12.012
angles: 79.56 79.56 60.00
Site moments in Bohr magnetons follow the coordinates.
Fractional coordinates of all 10 atoms:
Sr1 0.500 0.500 0.500  0.00
Ac1 0.067 0.067 0.798  0.07
Ac2 0.933 0.933 0.202  0.07
F1 0.734 0.734 0.798  0.01
F2 0.570 0.570 0.291  0.01
F3 0.000 0.000 0.000  0.02
F4 0.266 0.266 0.202  0.01
F5 0.143 0.143 0.572  0.00
F6 0.857 0.857 0.428  0.00
F7 0.430 0.430 0.709  0.01

**Volume**: 192.8 Å³/cell
**Formation energy without anion corrections**: -3.85 eV per atom
**ρ**: 5.81 g cm⁻³
**Calculated total energy**: -6.1472 eV per atom

(3)
Computed, not measured: crystalline Tm4CoPb at its relaxed geometry at the PBE level of DFT.

abc: 5.894 8.682 7.851
angles: 115.33 101.01 109.47
Fractional coordinates of all 12 atoms:
Tm1 0.070 0.205 0.851
Tm2 0.786 0.730 0.676
Tm3 0.281 0.647 0.851
Tm4 0.390 0.947 0.676
Tm5 0.610 0.053 0.324
Tm6 0.719 0.353 0.149
Tm7 0.214 0.270 0.324
Tm8 0.930 0.795 0.149
Co1 0.250 0.000 0.000
Co2 0.750 0.000 0.000
Pb1 0.379 0.629 0.258
Pb2 0.621 0.371 0.742

**DFT formation energy**: -306.2 meV per atom
**Volume**: 315.0 Å³/cell
**ρ**: 9.93 g cm⁻³
**Calculated total energy**: -5.0896 eV per atom

(4)
Computed, not measured: crystalline Tl3Cd2Br7 at its relaxed geometry at the PBE level of DFT.

abc: 5.511 5.596 13.892
angles: 101.62 90.00 90.00
Fractional coordinates of all 12 atoms:
Tl1 0.500 0.500 0.000
Tl2 0.500 0.674 0.349
Tl3 0.500 0.326 0.651
Cd1 0.000 0.896 0.792
Cd2 0.000 0.104 0.208
Br1 0.000 0.405 0.809
Br2 0.000 0.799 0.598
Br3 0.000 0.000 0.000
Br4 0.000 0.595 0.191
Br5 0.500 0.096 0.192
Br6 0.500 0.904 0.808
Br7 0.000 0.201 0.402

**Volume**: 419.6 Å³/cell
**Formation energy without anion corrections**: -0.79 eV per atom
**ρ**: 5.53 g cm⁻³
**Calculated total energy**: -2.5071 eV per atom

(5)
Computed, not measured: crystalline CaReAs2 at its relaxed geometry at the PBE level of DFT.

abc: 4.674 4.674 3.361
angles: 90.00 90.00 98.72
Site moments in Bohr magnetons follow the coordinates.
Fractional coordinates of all 4 atoms:
Re1 0.000 0.500 0.500  0.35
As1 0.000 0.000 0.000  0.00
As2 0.500 0.500 0.000  0.00
Ca1 0.500 0.000 0.500  0.00

**DFT formation energy**: 196.7 meV per atom
**Volume**: 72.6 Å³/cell
**Excess energy over the best structure of this formula in the dataset**: 0.4892 eV/atom
**ρ**: 8.61 g cm⁻³
**Calculated total energy**: -5.7405 eV per atom

(6)
Computed, not measured: crystalline Ce2GdRh at its relaxed geometry at the PBE level of DFT.

abc: 4.845 4.845 5.587
angles: 64.30 64.30 60.00
Site moments in Bohr magnetons follow the coordinates.
Fractional coordinates of all 4 atoms:
Gd1 0.500 0.500 0.500  7.44
Rh1 0.000 0.000 0.000  -0.01
Ce1 0.259 0.259 0.222  0.65
Ce2 0.741 0.741 0.778  0.65

**DFT formation energy**: -96.8 meV per atom
**Volume**: 98.3 Å³/cell
**Excess energy over the best structure of this formula in the dataset**: 0.1817 eV/atom
**ρ**: 9.13 g cm⁻³
**Calculated total energy**: -8.4218 eV per atom

(7)
Computed, not measured: crystalline TlAgSb2 at its relaxed geometry at the PBE level of DFT.

abc: 5.278 5.278 5.278
angles: 60.00 60.00 60.00
Fractional coordinates of all 4 atoms:
Sb1 0.250 0.250 0.250
Sb2 0.750 0.750 0.750
Tl1 0.500 0.500 0.500
Ag1 0.000 0.000 0.000

**Volume**: 104.0 Å³/cell
**Formation energy without anion corrections**: 0.29 eV per atom
**ρ**: 8.88 g cm⁻³
**Calculated total energy**: -3.0772 eV per atom

(8)
Computed, not measured: crystalline NaPaInSe4 at its relaxed geometry at the PBE level of DFT.

abc: 8.523 8.528 8.567
angles: 120.15 90.00 119.98
Site moments in Bohr magnetons follow the coordinates.
Fractional coordinates of all 14 atoms:
Na1 0.864 0.728 0.114  0.00
Na2 0.136 0.272 0.886  0.00
Pa1 0.500 0.000 0.500  0.24
Pa2 0.500 0.000 0.000  0.24
In1 0.500 0.500 0.500  0.05
In2 0.000 0.500 0.500  0.05
Se1 0.729 0.459 0.705  0.01
Se2 0.283 0.002 0.251  -0.01
Se3 0.720 0.002 0.251  -0.01
Se4 0.729 0.459 0.254  0.01
Se5 0.271 0.541 0.746  0.01
Se6 0.717 0.998 0.749  -0.01
Se7 0.280 0.998 0.749  -0.01
Se8 0.271 0.541 0.295  0.01

**Volume**: 439.4 Å³/cell
**Formation energy without anion corrections**: -1.01 eV per atom
**ρ**: 5.17 g cm⁻³
**Calculated total energy**: -4.9423 eV per atom

(9)
Computed, not measured: crystalline LaSc2Cu9 at its relaxed geometry at the PBE level of DFT.

abc: 5.184 5.184 16.091
angles: 90.00 90.00 120.00
Fractional coordinates of all 24 atoms:
La1 0.333 0.667 0.750
La2 0.667 0.333 0.250
Sc1 0.333 0.667 0.529
Sc2 0.667 0.333 0.029
Sc3 0.667 0.333 0.471
Sc4 0.333 0.667 0.971
Cu1 0.000 0.000 0.000
Cu2 0.000 0.000 0.500
Cu3 0.000 0.000 0.250
Cu4 0.000 0.000 0.750
Cu5 0.333 0.667 0.250
Cu6 0.667 0.333 0.750
Cu7 0.168 0.337 0.122
Cu8 0.663 0.832 0.122
Cu9 0.168 0.832 0.122
Cu10 0.832 0.663 0.622
Cu11 0.337 0.168 0.622
Cu12 0.832 0.168 0.622
Cu13 0.337 0.168 0.878
Cu14 0.832 0.663 0.878
Cu15 0.832 0.168 0.878
Cu16 0.663 0.832 0.378
Cu17 0.168 0.337 0.378
Cu18 0.168 0.832 0.378

**DFT formation energy**: -194.1 meV per atom
**Volume**: 374.5 Å³/cell
**ρ**: 7.10 g cm⁻³
**Calculated total energy**: -4.7321 eV per atom

(10)
Computed, not measured: crystalline CsLaAgO3 at its relaxed geometry at the PBE level of DFT.

abc: 4.119 7.985 9.759
angles: 111.76 90.00 90.00
Fractional coordinates of all 12 atoms:
Cs1 0.250 0.204 0.190
Cs2 0.750 0.796 0.810
La1 0.250 0.676 0.133
La2 0.750 0.324 0.867
Ag1 0.250 0.037 0.628
Ag2 0.750 0.963 0.372
O1 0.750 0.863 0.133
O2 0.250 0.137 0.867
O3 0.250 0.942 0.385
O4 0.750 0.058 0.615
O5 0.750 0.474 0.113
O6 0.250 0.526 0.887

**Volume**: 298.1 Å³/cell
**Formation energy without anion corrections**: -1.71 eV per atom
**ρ**: 4.76 g cm⁻³
**Calculated total energy**: -5.6292 eV per atom

(11)
Computed, not measured: crystalline Be2SbPb at its relaxed geometry at the PBE level of DFT.

abc: 6.197 6.197 6.570
angles: 61.86 61.86 90.00
Fractional coordinates of all 8 atoms:
Pb1 0.000 0.000 0.000
Pb2 0.750 0.250 0.500
Sb1 0.500 0.500 0.000
Sb2 0.250 0.750 0.500
Be1 0.594 0.125 0.250
Be2 0.156 0.625 0.250
Be3 0.375 0.406 0.750
Be4 0.875 0.844 0.750

**Volume**: 188.0 Å³/cell
**Excess energy over the best structure of this formula in the dataset**: 0.2446 eV/atom
**Formation energy without anion corrections**: 0.54 eV per atom
**ρ**: 6.13 g cm⁻³
**Calculated total energy**: -3.2766 eV per atom

(12)
Computed, not measured: crystalline BeFe at its relaxed geometry at the PBE level of DFT.

abc: 4.276 4.276 5.031
angles: 73.34 73.34 40.26
Site moments in Bohr magnetons follow the coordinates.
Fractional coordinates of all 6 atoms:
Be1 0.979 0.979 0.049  -0.07
Be2 0.641 0.641 0.733  -0.07
Be3 0.628 0.628 0.216  -0.05
Fe1 0.304 0.304 0.378  1.94
Fe2 0.981 0.981 0.555  2.06
Fe3 0.300 0.300 0.904  1.61

**DFT formation energy**: -109.4 meV per atom
**Volume**: 56.6 Å³/cell
**ρ**: 5.71 g cm⁻³
**Calculated total energy**: -6.2038 eV per atom

(13)
Computed, not measured: crystalline MgTl2Cu2Br6 at its relaxed geometry at the PBE level of DFT.

abc: 7.494 7.782 8.092
angles: 120.63 90.00 118.78
Fractional coordinates of all 11 atoms:
Mg1 0.500 0.000 0.500
Tl1 0.748 0.495 0.230
Tl2 0.252 0.505 0.770
Cu1 0.928 0.856 0.710
Cu2 0.072 0.144 0.290
Br1 0.742 0.484 0.666
Br2 0.207 0.900 0.219
Br3 0.307 0.100 0.781
Br4 0.793 0.100 0.781
Br5 0.693 0.900 0.219
Br6 0.258 0.516 0.334

**Volume**: 336.5 Å³/cell
**Formation energy without anion corrections**: -0.76 eV per atom
**ρ**: 5.13 g cm⁻³
**Calculated total energy**: -2.9937 eV per atom

(14)
Computed, not measured: crystalline Li5B8C8 at its relaxed geometry at the PBE level of DFT.

abc: 7.715 7.715 4.687
angles: 89.34 90.66 138.66
Fractional coordinates of all 21 atoms:
C1 0.631 0.369 0.322
C2 0.627 0.874 0.176
C3 0.374 0.127 0.824
C4 0.372 0.628 0.674
C5 0.128 0.872 0.326
C6 0.126 0.373 0.176
C7 0.873 0.626 0.824
C8 0.869 0.131 0.678
B1 0.877 0.123 0.341
B2 0.377 0.120 0.162
B3 0.620 0.877 0.838
B4 0.123 0.877 0.661
B5 0.377 0.623 0.339
B6 0.880 0.623 0.162
B7 0.123 0.380 0.838
B8 0.623 0.377 0.659
Li1 0.493 0.993 0.500
Li2 0.000 0.000 0.999
Li3 0.007 0.507 0.500
Li4 0.500 0.500 0.001
Li5 0.750 0.250 0.000

**DFT formation energy**: -137.9 meV per atom
**Volume**: 184.2 Å³/cell
**Excess energy over the best structure of this formula in the dataset**: 0.0071 eV/atom
**ρ**: 1.96 g cm⁻³
**Calculated total energy**: -6.6512 eV per atom

(15)
Computed, not measured: crystalline Cd2AgPb at its relaxed geometry at the PBE level of DFT.

abc: 3.298 3.298 10.169
angles: 90.00 90.00 120.00
Fractional coordinates of all 4 atoms:
Cd1 0.667 0.333 0.280
Cd2 0.333 0.667 0.720
Ag1 0.000 0.000 0.500
Pb1 0.000 0.000 0.000

**DFT formation energy**: 43.6 meV per atom
**Volume**: 95.8 Å³/cell
**ρ**: 9.36 g cm⁻³
**Calculated total energy**: -2.0539 eV per atom